Computed, not measured: a geometry-optimized ScTaBr2 structure at the PBE level of DFT.

Space group: Cmmm (65)
ΔE_f (raw), eV per atom: 0.0536
Total magnetization, μB/f.u.: 0.00
Distance to the lowest polymorph of the same formula, meV/atom: 786

Cell: 3.3747 3.3747 9.2223 Å, 90.00 90.00 124.56°
Last column: nearest neighbours and their distance in Å.
Fractional positions:
Br 0.0000 0.0000 0.9918  2 Ta 2.73, 2 Sc 2.85
Br 0.0000 0.0000 0.5082  2 Ta 2.73, 2 Sc 2.85
Ta 0.5000 0.5000 0.7500  4 Br 2.73
Sc 0.5000 0.5000 0.2500  4 Br 2.85, 2 Sc 3.14

Computed, not measured: a geometry-optimized Sc4TaBr structure at the PBE level of DFT.

Space group: F-43m (216)
ΔE_f (raw), eV per atom: 0.5768
Total magnetization, μB/f.u.: 0.00

Cell: 5.8401 5.8401 5.8401 Å, 60.00 60.00 60.00°
Last column: nearest neighbours and their distance in Å.
Fractional positions:
Sc 0.3784 0.8649 0.3784  6 Sc 2.84-3.00
Sc 0.3784 0.3784 0.3784  6 Sc 2.84-3.00
Sc 0.8649 0.3784 0.3784  6 Sc 2.84-3.00
Sc 0.3784 0.3784 0.8649  6 Sc 2.84-3.00
Br 0.0000 0.0000 0.0000  12 Sc 3.43, 4 Ta 3.58
Ta 0.7500 0.7500 0.7500  12 Sc 3.42, 4 Br 3.58

Computed, not measured: a geometry-optimized ScTaBr2 structure at the PBE level of DFT.

Space group: P2/m (10)
ΔE_f (raw), eV per atom: -0.0049
Total magnetization, μB/f.u.: 0.00
Distance to the lowest polymorph of the same formula, meV/atom: 727

Cell: 4.5117 3.2981 5.8199 Å, 96.10 90.00 90.00°
Last column: nearest neighbours and their distance in Å.
Fractional positions:
Br 0.0000 0.5712 0.5049  2 Ta 2.70, 2 Sc 2.84, 1 Br 2.97
Br 0.0000 0.9288 0.9951  2 Ta 2.70, 2 Sc 2.84, 1 Br 2.97
Sc 0.5000 0.2500 0.2500  4 Br 2.84
Ta 0.5000 0.7500 0.7500  4 Br 2.70

Computed, not measured: a geometry-optimized ScTaBr2 structure at the PBE level of DFT.

Space group: R3m (160)
ΔE_f (raw), eV per atom: -0.7321
Total magnetization, μB/f.u.: 0.00
Distance to the lowest polymorph of the same formula, meV/atom: 0

Cell: 9.9881 9.9881 9.9881 Å, 19.69 19.69 19.69°
Last column: nearest neighbours and their distance in Å.
Fractional positions:
Sc 0.4966 0.4966 0.4966  3 Br 2.72, 3 Ta 3.01
Br 0.0241 0.0241 0.0241  3 Ta 2.68
Br 0.2270 0.2270 0.2270  3 Sc 2.72
Ta 0.7524 0.7524 0.7524  3 Br 2.68

Computed, not measured: a geometry-optimized ScTa2Br structure at the PBE level of DFT.

Space group: F-43m (216)
ΔE_f (raw), eV per atom: 0.5590
Total magnetization, μB/f.u.: 0.00
Distance to the lowest polymorph of the same formula, meV/atom: 631

Cell: 4.7821 4.7821 4.7821 Å, 60.00 60.00 60.00°
Last column: nearest neighbours and their distance in Å.
Fractional positions:
Sc 0.7500 0.7500 0.7500  4 Br 2.93, 4 Ta 2.93
Ta 0.2500 0.2500 0.2500  4 Ta 2.93, 4 Br 2.93
Ta 0.0000 0.0000 0.0000  4 Ta 2.93, 4 Sc 2.93
Br 0.5000 0.5000 0.5000  4 Sc 2.93, 4 Ta 2.93

Computed, not measured: a geometry-optimized ScTa2Br structure at the PBE level of DFT.

Space group: P4mm (99)
ΔE_f (raw), eV per atom: -0.0366
Total magnetization, μB/f.u.: 0.00
Distance to the lowest polymorph of the same formula, meV/atom: 35

Cell: 3.3708 3.3708 8.3092 Å, 90.00 90.00 90.00°
Last column: nearest neighbours and their distance in Å.
Fractional positions:
Sc 0.5000 0.5000 0.7748  4 Br 2.89, 5 Ta 2.99-3.16
Ta 0.5000 0.5000 0.1548  4 Ta 2.74
Ta 0.0000 0.0000 0.9929  4 Ta 2.74, 4 Sc 2.99
Br 0.0000 0.0000 0.5775  4 Sc 2.89

Computed, not measured: a geometry-optimized ScTa2Br structure at the PBE level of DFT.

Space group: Imm2 (44)
ΔE_f (raw), eV per atom: 0.4437
Total magnetization, μB/f.u.: 0.00
Distance to the lowest polymorph of the same formula, meV/atom: 516

Cell: 5.4967 5.4967 5.4967 Å, 144.27 123.11 69.02°
Last column: nearest neighbours and their distance in Å.
Fractional positions:
Ta 0.9869 0.9869 0.0000  2 Ta 2.74, 2 Sc 2.96
Ta 0.7485 0.2485 0.5000  2 Ta 2.74, 2 Br 2.75
Sc 0.2554 0.7554 0.5000  2 Br 2.85, 6 Ta 2.96-3.11
Br 0.5092 0.5092 0.0000  2 Ta 2.75, 2 Sc 2.85

Computed, not measured: a geometry-optimized ScTa2Br structure at the PBE level of DFT.

Space group: P4/mmm (123)
ΔE_f (raw), eV per atom: 0.4897
Total magnetization, μB/f.u.: 0.00
Distance to the lowest polymorph of the same formula, meV/atom: 562

Cell: 3.0222 3.0222 8.5575 Å, 90.00 90.00 90.00°
Last column: nearest neighbours and their distance in Å.
Fractional positions:
Sc 0.5000 0.5000 0.7500  4 Sc 3.02, 8 Ta 3.17
Br 0.5000 0.5000 0.2500  8 Ta 2.88, 4 Br 3.02
Ta 0.0000 0.0000 0.0239  4 Br 2.88, 4 Ta 3.02, 4 Sc 3.17
Ta 0.0000 0.0000 0.4761  4 Br 2.88, 4 Ta 3.02, 4 Sc 3.17

Computed, not measured: a geometry-optimized ScTaBr2 structure at the PBE level of DFT.

Space group: Immm (71)
ΔE_f (raw), eV per atom: 0.0308
Total magnetization, μB/f.u.: 0.04
Distance to the lowest polymorph of the same formula, meV/atom: 763

Cell: 5.7488 5.7488 5.7488 Å, 147.87 118.33 71.25°
Last column: nearest neighbours and their distance in Å.
Fractional positions:
Ta 0.2500 0.7500 0.5000  4 Br 2.69
Br 0.0178 0.0178 0.0000  2 Ta 2.69, 2 Sc 2.97
Br 0.4822 0.4822 0.0000  2 Ta 2.69, 2 Sc 2.97
Sc 0.7500 0.2500 0.5000  4 Br 2.97, 2 Sc 3.18

Computed, not measured: a geometry-optimized ScTaBr2 structure at the PBE level of DFT.

Space group: I-42d (122)
ΔE_f (raw), eV per atom: 0.0892
Total magnetization, μB/f.u.: 0.00
Distance to the lowest polymorph of the same formula, meV/atom: 821

Cell: 4.5553 4.5553 9.3771 Å, 75.94 75.94 90.00°
Last column: nearest neighbours and their distance in Å.
Fractional positions:
Ta 0.7500 0.2500 0.5000  4 Br 2.71
Ta 0.0000 0.0000 0.0000  4 Br 2.71
Sc 0.2500 0.7500 0.5000  4 Br 2.75
Sc 0.5000 0.5000 0.0000  4 Br 2.75
Br 0.8750 0.8857 0.7500  2 Ta 2.71, 2 Sc 2.75
Br 0.3750 0.3643 0.7500  2 Ta 2.71, 2 Sc 2.75
Br 0.1143 0.6250 0.2500  2 Ta 2.71, 2 Sc 2.75
Br 0.6357 0.1250 0.2500  2 Ta 2.71, 2 Sc 2.75

Computed, not measured: a geometry-optimized ScTa2Br structure at the PBE level of DFT.

Space group: I4/mmm (139)
ΔE_f (raw), eV per atom: 0.4206
Total magnetization, μB/f.u.: 0.00
Distance to the lowest polymorph of the same formula, meV/atom: 492

Cell: 5.9689 5.9689 5.9689 Å, 142.25 142.25 54.46°
Last column: nearest neighbours and their distance in Å.
Fractional positions:
Sc 0.7500 0.2500 0.5000  4 Br 2.73
Ta 0.5000 0.5000 0.0000  4 Ta 2.73
Ta 0.0000 0.0000 0.0000  4 Ta 2.73
Br 0.2500 0.7500 0.5000  4 Sc 2.73

Computed, not measured: a geometry-optimized ScTa2Br structure at the PBE level of DFT.

Space group: C2/m (12)
ΔE_f (raw), eV per atom: 0.2622
Total magnetization, μB/f.u.: 0.00
Distance to the lowest polymorph of the same formula, meV/atom: 334

Cell: 5.5652 5.5652 4.6914 Å, 78.96 78.96 33.45°
Last column: nearest neighbours and their distance in Å.
Fractional positions:
Ta 0.0055 0.0055 0.0026  4 Ta 2.80-2.88, 1 Sc 3.06, 2 Br 3.09
Ta 0.4945 0.4945 0.4974  4 Ta 2.80-2.88, 1 Sc 3.06, 2 Br 3.09
Sc 0.2500 0.2500 0.2500  4 Br 2.84, 6 Ta 3.06-3.17
Br 0.7500 0.7500 0.7500  4 Sc 2.84, 6 Ta 3.09-3.18

Computed, not measured: a geometry-optimized ScTa2Br structure at the PBE level of DFT.

Space group: R-3m (166)
ΔE_f (raw), eV per atom: 0.3636
Total magnetization, μB/f.u.: 0.00
Distance to the lowest polymorph of the same formula, meV/atom: 435

Cell: 9.6695 9.6695 9.6695 Å, 18.51 18.51 18.51°
Last column: nearest neighbours and their distance in Å.
Fractional positions:
Ta 0.9956 0.9956 0.9956  3 Br 2.88, 3 Sc 3.08, 6 Ta 3.11
Ta 0.5044 0.5044 0.5044  3 Br 2.88, 3 Sc 3.08, 6 Ta 3.11
Br 0.2500 0.2500 0.2500  6 Ta 2.88, 6 Br 3.11
Sc 0.7500 0.7500 0.7500  6 Ta 3.08, 6 Sc 3.11

Computed, not measured: a geometry-optimized ScTaBr2 structure at the PBE level of DFT.

Space group: Pm (6)
ΔE_f (raw), eV per atom: -0.4177
Total magnetization, μB/f.u.: 0.00
Distance to the lowest polymorph of the same formula, meV/atom: 314

Cell: 3.3315 3.7001 8.4020 Å, 77.44 90.00 90.00°
Last column: nearest neighbours and their distance in Å.
Fractional positions:
Sc 0.0000 0.5609 0.5014  4 Br 2.80, 4 Ta 2.98
Ta 0.5000 0.9625 0.7009  3 Br 2.65-2.91
Br 0.5000 0.1377 0.3461  4 Sc 2.80, 1 Ta 2.91
Br 0.0000 0.8389 0.9517  2 Ta 2.65